No. 1
Material: Ga2RuW
Method: DFT, PBEsol
State: optimized geometry

The structure in POSCAR format:
```
Ga2RuW
1.0
0.000 3.051 3.051
3.051 0.000 3.051
3.051 3.051 0.000
Ga Ru W
2 1 1
Direct
0.250 0.250 0.250
0.750 0.750 0.750
0.000 0.000 0.000
0.500 0.500 0.500
```

- Space-group type: Fm-3m
- Calculated formation energy: 0.1801 eV/atom


No. 2
Material: InPRuW2
Method: DFT, PBEsol
State: optimized geometry

The structure in POSCAR format:
```
InPRuW2
1.0
4.658 0.000 0.000
0.000 4.658 0.000
0.000 0.000 4.898
In P Ru W
1 1 1 2
Direct
0.000 0.000 0.000
0.500 0.500 0.000
0.000 0.000 0.500
0.000 0.500 0.500
0.500 0.000 0.500
```

- Space-group type: P4/mmm
- Calculated formation energy: 1.7739 eV/atom


No. 3
Material: TlIn3Pb
Method: DFT, PBEsol
State: optimized geometry

The structure in POSCAR format:
```
TlIn3Pb
1.0
5.703 0.000 0.000
0.000 5.703 0.000
0.000 0.000 5.703
Tl In Pb
1 3 1
Direct
0.000 0.000 0.000
0.000 0.500 0.500
0.500 0.000 0.500
0.500 0.500 0.000
0.500 0.500 0.500
```

- Space-group type: Pm-3m
- Calculated formation energy: 0.5396 eV/atom


No. 4
Material: CdCuC3
Method: DFT, PBEsol
State: optimized geometry

The structure in POSCAR format:
```
CdCuC3
1.0
4.193 0.000 0.000
0.000 4.193 0.000
0.000 0.000 4.193
Cd Cu C
1 1 3
Direct
0.000 0.000 0.000
0.500 0.500 0.500
0.000 0.000 0.500
0.000 0.500 0.000
0.500 0.000 0.000
```

- Space-group type: Pm-3m
- Calculated formation energy: 3.5803 eV/atom


No. 5
Material: Li2MnSiO4
Method: DFT, PBEsol
State: optimized geometry

The structure in POSCAR format:
```
Li2MnSiO4
1.0
10.721 0.000 0.000
0.000 6.260 0.000
0.000 0.000 5.001
Li Mn Si O
8 4 4 16
Direct
0.088 0.001 0.182
0.088 0.499 0.182
0.412 0.501 0.682
0.412 0.999 0.682
0.588 0.001 0.318
0.588 0.499 0.318
0.912 0.501 0.818
0.912 0.999 0.818
0.164 0.250 0.681
0.336 0.750 0.181
0.664 0.250 0.819
0.836 0.750 0.319
0.162 0.750 0.674
0.338 0.250 0.174
0.662 0.750 0.826
0.838 0.250 0.326
0.091 0.535 0.788
0.091 0.965 0.788
0.160 0.750 0.345
0.191 0.250 0.276
0.309 0.750 0.776
0.340 0.250 0.845
0.409 0.035 0.288
0.409 0.465 0.288
0.591 0.535 0.712
0.591 0.965 0.712
0.660 0.750 0.155
0.691 0.250 0.224
0.809 0.750 0.724
0.840 0.250 0.655
0.909 0.035 0.212
0.909 0.465 0.212
```

- Raw formation energy: -2.240 eV per atom
- Space-group type: Pnma


No. 6
Material: LaTa2Se
Method: DFT, PBEsol
State: optimized geometry

The structure in POSCAR format:
```
LaTa2Se
1.0
2.864 -5.073 0.000
2.864 5.073 0.000
-2.233 0.000 2.862
La Ta Se
1 2 1
Direct
0.000 0.000 0.000
0.000 0.500 0.500
0.500 0.000 0.500
0.500 0.500 0.000
```

- Raw formation energy: 0.049 eV per atom
- Space-group type: C2/m


No. 7
Material: Ga3OsPb
Method: DFT, PBEsol
State: optimized geometry

The structure in POSCAR format:
```
Ga3OsPb
1.0
4.805 0.000 0.000
0.000 4.805 0.000
0.000 0.000 4.805
Ga Os Pb
3 1 1
Direct
0.000 0.000 0.500
0.000 0.500 0.000
0.500 0.000 0.000
0.000 0.000 0.000
0.500 0.500 0.500
```

- Space-group type: Pm-3m
- Calculated formation energy: 0.1992 eV/atom


No. 8
Material: BaCaSc2
Method: DFT, PBEsol
State: optimized geometry

The structure in POSCAR format:
```
BaCaSc2
1.0
0.000 4.033 4.033
4.033 0.000 4.033
4.033 4.033 0.000
Ba Ca Sc
1 1 2
Direct
0.000 0.000 0.000
0.500 0.500 0.500
0.250 0.250 0.250
0.750 0.750 0.750
```

- Space-group type: Fm-3m
- Calculated formation energy: 0.3949 eV/atom


No. 9
Material: In2FeCu
Method: DFT, PBEsol
State: optimized geometry

The structure in POSCAR format:
```
In2FeCu
1.0
3.147 0.000 0.000
0.000 3.147 0.000
0.000 0.000 6.360
In Fe Cu
2 1 1
Direct
0.000 0.000 0.244
0.000 0.000 0.756
0.500 0.500 0.000
0.500 0.500 0.500
```

- Space-group type: P4/mmm
- Calculated formation energy: 0.2157 eV/atom


No. 10
Material: Cs2KCdTe
Method: DFT, PBEsol
State: optimized geometry

The structure in POSCAR format:
```
Cs2KCdTe
1.0
7.208 0.000 0.000
0.000 7.208 0.000
0.000 0.000 6.001
Cs K Cd Te
2 1 1 1
Direct
0.000 0.500 0.000
0.500 0.000 0.000
0.000 0.000 0.000
0.500 0.500 0.500
0.000 0.000 0.500
```

- Raw formation energy: -0.067 eV per atom
- Space-group type: P4/mmm


No. 11
Material: TcHgAs
Method: DFT, PBEsol
State: optimized geometry

The structure in POSCAR format:
```
TcHgAs
1.0
-1.594 1.594 5.039
1.594 -1.594 5.039
1.594 1.594 -5.039
Tc Hg As
1 1 1
Direct
0.000 0.000 0.000
0.307 0.307 0.000
0.605 0.605 0.000
```

- Space-group type: I4mm
- Calculated formation energy: 0.1331 eV/atom


No. 12
Material: Ru5W
Method: DFT, PBEsol
State: optimized geometry

The structure in POSCAR format:
```
Ru5W
1.0
4.709 0.000 0.000
-2.355 4.078 0.000
0.000 0.000 4.274
Ru W
5 1
Direct
0.000 0.660 0.000
0.333 0.667 0.500
0.340 0.340 0.000
0.660 0.000 0.000
0.667 0.333 0.500
0.000 0.000 0.500
```

- Space-group type: P-62m
- Calculated formation energy: -0.0327 eV/atom


No. 13
Material: LaSbTe
Method: DFT, PBEsol
State: optimized geometry

The structure in POSCAR format:
```
LaSbTe
1.0
7.961 0.000 0.000
0.000 4.321 0.000
0.000 0.000 10.570
La Sb Te
4 4 4
Direct
0.215 0.250 0.156
0.285 0.750 0.656
0.715 0.250 0.344
0.785 0.750 0.844
0.107 0.250 0.456
0.393 0.750 0.956
0.607 0.250 0.044
0.893 0.750 0.544
0.091 0.250 0.843
0.409 0.750 0.343
0.591 0.250 0.657
0.909 0.750 0.157
```

- Raw formation energy: -1.266 eV per atom
- Space-group type: Pnma


No. 14
Material: Y3RuRh
Method: DFT, PBEsol
State: optimized geometry

The structure in POSCAR format:
```
Y3RuRh
1.0
5.112 0.000 0.000
0.000 5.112 0.000
0.000 0.000 5.112
Y Ru Rh
3 1 1
Direct
0.000 0.000 0.500
0.000 0.500 0.000
0.500 0.000 0.000
0.500 0.500 0.500
0.000 0.000 0.000
```

- Space-group type: Pm-3m
- Calculated formation energy: 0.3243 eV/atom


No. 15
Material: K3SbAs
Method: DFT, PBEsol
State: optimized geometry

The structure in POSCAR format:
```
K3SbAs
1.0
6.546 0.000 0.000
0.000 6.546 0.000
0.000 0.000 6.546
K Sb As
3 1 1
Direct
0.000 0.000 0.500
0.000 0.500 0.000
0.500 0.000 0.000
0.000 0.000 0.000
0.500 0.500 0.500
```

- Raw formation energy: 0.290 eV per atom
- Space-group type: Pm-3m


No. 16
Material: LiFe3Mo
Method: DFT, PBEsol
State: optimized geometry

The structure in POSCAR format:
```
LiFe3Mo
1.0
4.419 0.000 0.000
0.000 4.419 0.000
0.000 0.000 4.419
Li Fe Mo
1 3 1
Direct
0.000 0.000 0.000
0.000 0.500 0.500
0.500 0.000 0.500
0.500 0.500 0.000
0.500 0.500 0.500
```

- Space-group type: Pm-3m
- Calculated formation energy: 1.3900 eV/atom


No. 17
Material: BeNi
Method: DFT, PBEsol
State: optimized geometry

The structure in POSCAR format:
```
BeNi
1.0
2.583 0.000 0.000
0.000 2.583 0.000
0.000 0.000 2.583
Be Ni
1 1
Direct
0.000 0.000 0.000
0.500 0.500 0.500
```

- Space-group type: Pm-3m
- Calculated formation energy: -0.4878 eV/atom


No. 18
Material: SrBSCl2
Method: DFT, PBEsol
State: optimized geometry

The structure in POSCAR format:
```
SrBSCl2
1.0
5.463 0.000 0.000
0.000 5.463 0.000
0.000 0.000 5.742
Sr B S Cl
1 1 1 2
Direct
0.000 0.000 0.000
0.500 0.500 0.500
0.000 0.000 0.500
0.000 0.500 0.000
0.500 0.000 0.000
```

- Raw formation energy: 0.258 eV per atom
- Space-group type: P4/mmm


No. 19
Material: GaCoSe2N
Method: DFT, PBEsol
State: optimized geometry

The structure in POSCAR format:
```
GaCoSe2N
1.0
4.926 0.000 0.000
0.000 4.926 0.000
0.000 0.000 3.334
Ga Co Se N
1 1 2 1
Direct
0.000 0.000 0.000
0.500 0.500 0.500
0.000 0.500 0.500
0.500 0.000 0.500
0.500 0.500 0.000
```

- Raw formation energy: 0.166 eV per atom
- Space-group type: P4/mmm


No. 20
Material: KYAs2
Method: DFT, PBEsol
State: optimized geometry

The structure in POSCAR format:
```
KYAs2
1.0
0.000 3.580 3.580
3.580 0.000 3.580
3.580 3.580 0.000
K Y As
1 1 2
Direct
0.000 0.000 0.000
0.750 0.750 0.750
0.250 0.250 0.250
0.500 0.500 0.500
```

- Space-group type: F-43m
- Calculated formation energy: -0.0291 eV/atom